Entry 1:
First-principles (PBE) data for a geometry-optimized AuI3Cl structure, as listed in Alexandria.

Geometry as extended XYZ:
```
5
Lattice="-4.989 0.783 2.613 1.410 -3.921 3.868 2.335 4.042 3.247" Properties=species:S:1:pos:R:3 pbc="T T T"
I 0.705 -1.961 1.934
I 1.167 2.021 1.623
I -2.494 0.392 1.306
Au -0.622 0.452 4.864
Cl 0.000 0.000 0.000
```

Output
Raw formation energy in meV/atom: 730
Fermi-level density of states in states/eV/cell: 2.2
Distance to the lowest polymorph of the same formula in meV/atom: 772
Crystal system: cubic

Entry 2:
First-principles (PBE) data for a geometry-optimized Au4I3Cl2 structure, as listed in Alexandria.

Geometry as extended XYZ:
```
18
Lattice="-17.777 -9.669 -3.672 5.608 -2.963 3.348 2.055 2.394 6.440" Properties=species:S:1:pos:R:3 pbc="T T T"
Au 0.521 -4.792 4.499
Au 0.154 -3.477 1.800
Au -10.634 -5.445 1.618
Au -10.268 -6.760 4.317
Au -15.458 -8.405 -0.277
Au -4.805 -4.765 5.656
Au 5.344 -1.832 6.394
Au -5.309 -5.472 0.461
I -16.409 -9.267 -2.738
I -2.618 -5.767 7.041
I 6.295 -0.970 8.855
I -7.495 -4.470 -0.924
I -0.706 -2.561 4.058
I -9.408 -7.676 2.059
Cl -3.948 -3.827 1.589
Cl 2.941 -1.905 6.174
Cl -6.166 -6.410 4.528
Cl -13.055 -8.332 -0.057
```

Output
Raw formation energy in meV/atom: -67
Fermi-level density of states in states/eV/cell: 3.7
Crystal system: monoclinic

Entry 3:
First-principles (PBE) data for a geometry-optimized AuICl3 structure, as listed in Alexandria.

Geometry as extended XYZ:
```
20
Lattice="-1.402 -0.818 5.117 10.815 -5.216 2.128 0.113 10.707 1.743" Properties=species:S:1:pos:R:3 pbc="T T T"
Au 3.366 -1.087 3.526
Au 6.160 5.760 5.462
Au 0.014 2.616 6.016
Au 9.511 2.056 2.972
I 5.006 -0.454 5.502
I 4.519 5.127 3.486
I 9.881 -2.829 3.641
I -0.355 7.501 5.347
Cl 4.002 0.808 2.333
Cl 5.524 3.865 6.655
Cl 0.210 1.207 4.174
Cl 9.316 3.466 4.814
Cl 7.284 1.302 3.291
Cl 2.242 3.371 5.696
Cl 7.752 -4.498 5.308
Cl 1.774 9.170 3.680
Cl 8.342 -0.244 6.332
Cl 1.184 4.916 2.656
Cl 6.603 -3.006 2.599
Cl 2.922 7.678 6.389
```

Output
Raw formation energy in meV/atom: -103
Fermi-level density of states in states/eV/cell: 4.8
Distance to the lowest polymorph of the same formula in meV/atom: 65
Crystal system: monoclinic

Entry 4:
First-principles (PBE) data for a geometry-optimized AuI2Cl structure, as listed in Alexandria.

Geometry as extended XYZ:
```
4
Lattice="0.054 1.830 4.949 -3.455 -1.849 3.534 1.657 -3.095 3.940" Properties=species:S:1:pos:R:3 pbc="T T T"
I -0.436 -0.779 3.106
I -1.308 -2.336 9.317
Au -0.872 -1.557 6.211
Cl 0.000 0.000 0.000
```

Output
Raw formation energy in meV/atom: 464
Fermi-level density of states in states/eV/cell: 7.7
Distance to the lowest polymorph of the same formula in meV/atom: 534
Crystal system: cubic

Entry 5:
First-principles (PBE) data for a geometry-optimized Au2ICl8 structure, as listed in Alexandria.

Geometry as extended XYZ:
```
11
Lattice="7.857 0.644 0.551 2.047 7.801 2.126 2.047 3.310 7.377" Properties=species:S:1:pos:R:3 pbc="T T T"
Au 4.963 2.978 2.547
Au 6.988 8.777 7.507
I 0.000 0.000 0.000
Cl 8.190 4.762 6.371
Cl 3.760 4.723 6.337
Cl 7.209 2.788 2.384
Cl 4.742 8.968 7.670
Cl 8.190 7.032 3.717
Cl 3.760 6.993 3.683
Cl 2.748 3.212 2.747
Cl 9.203 8.543 7.307
```

Output
Raw formation energy in meV/atom: -56
Fermi-level density of states in states/eV/cell: 7.6
Crystal system: monoclinic

Entry 6:
First-principles (PBE) data for a geometry-optimized Au2I4Cl structure, as listed in Alexandria.

Geometry as extended XYZ:
```
14
Lattice="7.689 0.707 1.449 0.160 7.722 -1.556 -2.553 -5.613 11.400" Properties=species:S:1:pos:R:3 pbc="T T T"
Au 2.957 -0.866 8.914
Au 4.292 5.792 2.452
Au 4.249 1.909 3.288
Au -0.859 -1.253 8.266
I 5.791 0.046 4.613
I 2.655 3.771 2.043
I 4.794 1.009 8.706
I 4.726 -2.215 10.546
I 2.756 -0.209 2.334
I 1.160 -2.755 9.389
I 1.117 0.403 7.271
I 5.742 4.140 4.107
Cl -0.383 2.052 4.353
Cl -1.480 -4.396 10.771
```

Output
Raw formation energy in meV/atom: -61
Fermi-level density of states in states/eV/cell: 5.8
Distance to the lowest polymorph of the same formula in meV/atom: 0
Crystal system: triclinic

Entry 7:
First-principles (PBE) data for a geometry-optimized AuI3Cl structure, as listed in Alexandria.

Geometry as extended XYZ:
```
5
Lattice="5.626 0.000 0.000 0.000 5.626 0.000 0.000 0.000 5.626" Properties=species:S:1:pos:R:3 pbc="T T T"
I 0.000 2.813 0.000
I 0.000 0.000 2.813
I 2.813 0.000 0.000
Au 0.000 0.000 0.000
Cl 2.813 2.813 2.813
```

Output
Raw formation energy in meV/atom: 295
Fermi-level density of states in states/eV/cell: 7.5
Distance to the lowest polymorph of the same formula in meV/atom: 337
Crystal system: cubic

Entry 8:
First-principles (PBE) data for a geometry-optimized KAuI2Cl structure, as listed in Alexandria.

Geometry as extended XYZ:
```
5
Lattice="5.753 0.000 0.000 0.000 5.753 0.000 0.000 0.000 5.221" Properties=species:S:1:pos:R:3 pbc="T T T"
I 0.000 2.876 0.000
I 2.876 0.000 0.000
K 2.876 2.876 2.611
Au 0.000 0.000 0.000
Cl 0.000 0.000 2.611
```

Output
Raw formation energy in meV/atom: -682
Fermi-level density of states in states/eV/cell: 1.6
Crystal system: tetragonal

Entry 9:
First-principles (PBE) data for a geometry-optimized KAuICl2 structure, as listed in Alexandria.

Geometry as extended XYZ:
```
5
Lattice="5.216 0.000 0.000 0.000 5.216 0.000 0.000 0.000 5.657" Properties=species:S:1:pos:R:3 pbc="T T T"
I 0.000 0.000 2.828
K 2.608 2.608 2.828
Au 0.000 0.000 0.000
Cl 0.000 2.608 0.000
Cl 2.608 0.000 0.000
```

Output
Raw formation energy in meV/atom: -790
Fermi-level density of states in states/eV/cell: 1.5
Crystal system: tetragonal

Entry 10:
First-principles (PBE) data for a geometry-optimized La8Au3I4Cl structure, as listed in Alexandria.

Geometry as extended XYZ:
```
16
Lattice="8.750 0.000 0.000 0.000 9.365 0.430 -4.375 -4.371 6.189" Properties=species:S:1:pos:R:3 pbc="T T T"
La -2.234 2.414 6.376
La 0.000 4.645 3.216
La 0.000 0.463 3.420
La 2.234 2.414 6.376
La 2.141 2.579 0.243
La 4.375 4.530 3.199
La 4.375 0.349 3.403
La 6.609 2.579 0.243
Au 4.375 4.682 0.215
Au 2.187 2.497 3.309
Au -2.187 2.497 3.309
I 4.375 0.000 0.000
I 2.187 -2.186 3.094
I 0.000 0.000 0.000
I -2.187 -2.186 3.094
Cl 0.000 4.682 0.215
```

Output
Raw formation energy in meV/atom: -1013
Fermi-level density of states in states/eV/cell: 14.4
Crystal system: trigonal

Entry 11:
First-principles (PBE) data for a geometry-optimized La4AuI2Cl structure, as listed in Alexandria.

Geometry as extended XYZ:
```
8
Lattice="-2.124 -1.749 -3.262 -3.882 -4.053 4.701 -4.175 7.342 -1.218" Properties=species:S:1:pos:R:3 pbc="T T T"
La -2.882 -0.330 -0.738
La -7.299 1.870 0.958
La -4.385 4.679 0.346
La -3.673 -1.390 3.137
Au 0.000 0.000 0.000
I -3.149 2.797 -2.240
I -4.029 1.645 1.741
Cl -3.003 -2.901 0.719
```

Output
Raw formation energy in meV/atom: -1101
Fermi-level density of states in states/eV/cell: 6.2
Crystal system: monoclinic

Entry 12:
First-principles (PBE) data for a geometry-optimized La6Au2I3Cl structure, as listed in Alexandria.

Geometry as extended XYZ:
```
12
Lattice="-1.342 6.790 -3.224 2.734 -5.753 -4.210 -7.684 -2.561 0.821" Properties=species:S:1:pos:R:3 pbc="T T T"
La -5.653 0.889 -4.838
La -0.589 0.223 -5.270
La -0.639 -2.414 -1.775
La -4.282 -3.330 -5.169
La -5.703 -1.747 -1.343
La -2.010 1.806 -1.443
Au 1.380 -1.587 -3.883
Au 0.012 2.624 -3.552
I -1.778 -4.971 -3.637
I -4.513 3.447 -2.976
I -3.146 -0.762 -3.306
Cl 0.000 0.000 0.000
```

Output
Raw formation energy in meV/atom: -1037
Fermi-level density of states in states/eV/cell: 12.3
Crystal system: monoclinic

Entry 13:
First-principles (PBE) data for a geometry-optimized MoAuICl2 structure, as listed in Alexandria.

Geometry as extended XYZ:
```
5
Lattice="-0.565 4.076 3.418 -4.377 1.946 -3.044 -3.358 -2.939 2.949" Properties=species:S:1:pos:R:3 pbc="T T T"
I 0.000 0.000 0.000
Mo -2.188 0.973 -1.522
Au -4.150 1.542 1.662
Cl -1.679 -1.469 1.475
Cl -0.282 2.038 1.709
```

Output
Raw formation energy in meV/atom: 1136
Fermi-level density of states in states/eV/cell: 2.6
Crystal system: tetragonal

Entry 14:
First-principles (PBE) data for a geometry-optimized AuIN2Cl structure, as listed in Alexandria.

Geometry as extended XYZ:
```
5
Lattice="-1.612 2.708 2.555 -0.750 -2.963 2.668 7.654 1.235 3.522" Properties=species:S:1:pos:R:3 pbc="T T T"
I 3.827 0.617 1.761
N -0.375 -1.482 1.334
N -0.806 1.354 1.277
Au 0.000 0.000 0.000
Cl 2.646 0.490 4.372
```

Output
Raw formation energy in meV/atom: 1584
Fermi-level density of states in states/eV/cell: 2.1
Distance to the lowest polymorph of the same formula in meV/atom: 0
Crystal system: tetragonal

Entry 15:
First-principles (PBE) data for a geometry-optimized AuIN2Cl structure, as listed in Alexandria.

Geometry as extended XYZ:
```
5
Lattice="-3.406 -1.715 -1.497 2.135 -3.341 -1.030 -1.664 -3.446 7.733" Properties=species:S:1:pos:R:3 pbc="T T T"
I -0.832 -1.723 3.866
N 1.067 -1.671 -0.515
N -1.703 -0.857 -0.749
Au -1.468 -4.251 2.603
Cl 0.000 0.000 0.000
```

Output
Raw formation energy in meV/atom: 2018
Fermi-level density of states in states/eV/cell: 3.1
Distance to the lowest polymorph of the same formula in meV/atom: 434
Crystal system: tetragonal

Entry 16:
First-principles (PBE) data for a geometry-optimized Nb2AuICl structure, as listed in Alexandria.

Geometry as extended XYZ:
```
5
Lattice="5.091 0.000 0.000 0.000 5.419 0.000 0.000 0.000 5.091" Properties=species:S:1:pos:R:3 pbc="T T T"
I 0.000 0.000 0.000
Nb 0.000 0.000 2.546
Nb 2.546 0.000 0.000
Au 2.546 2.709 2.546
Cl 0.000 2.709 0.000
```

Output
Raw formation energy in meV/atom: 1589
Fermi-level density of states in states/eV/cell: 6.5
Crystal system: tetragonal

Entry 17:
First-principles (PBE) data for a geometry-optimized PdAu2ICl structure, as listed in Alexandria.

Geometry as extended XYZ:
```
5
Lattice="-3.538 -1.160 3.744 -2.178 -3.279 -3.074 3.172 -3.810 1.817" Properties=species:S:1:pos:R:3 pbc="T T T"
I -1.089 -1.639 -1.537
Au 1.586 -1.905 0.908
Au -1.769 -0.580 1.872
Pd 0.000 0.000 0.000
Cl -1.272 -4.124 1.243
```

Output
Raw formation energy in meV/atom: 522
Fermi-level density of states in states/eV/cell: 2.4
Crystal system: tetragonal

Entry 18:
First-principles (PBE) data for a geometry-optimized RbAuI2Cl6 structure, as listed in Alexandria.

Geometry as extended XYZ:
```
10
Lattice="-3.927 -3.925 -0.623 10.092 -3.749 2.391 -0.613 6.067 7.040" Properties=species:S:1:pos:R:3 pbc="T T T"
Rb 0.815 -2.864 3.950
Au 5.555 -1.705 8.666
I 4.607 -3.965 2.898
I 0.952 2.162 5.626
Cl 6.137 0.206 7.485
Cl -0.580 -2.008 1.038
Cl 9.266 -2.577 4.044
Cl 3.744 -1.662 2.694
Cl 1.815 -0.141 5.832
Cl -3.708 0.774 4.479
```

Output
Raw formation energy in meV/atom: -574
Crystal system: triclinic

Entry 19:
First-principles (PBE) data for a geometry-optimized RbAuI2Cl structure, as listed in Alexandria.

Geometry as extended XYZ:
```
5
Lattice="-1.215 5.461 1.348 -4.089 -1.804 3.625 3.559 -0.178 3.926" Properties=species:S:1:pos:R:3 pbc="T T T"
I -2.044 -0.902 1.812
I -0.607 2.730 0.674
Au 0.000 0.000 0.000
Rb -0.872 1.739 4.450
Cl 1.780 -0.089 1.963
```

Output
Raw formation energy in meV/atom: -710
Fermi-level density of states in states/eV/cell: 1.3
Crystal system: tetragonal

Entry 20:
First-principles (PBE) data for a geometry-optimized Rb3AuICl structure, as listed in Alexandria.

Geometry as extended XYZ:
```
12
Lattice="4.847 0.000 0.000 0.000 8.623 -1.587 0.000 -5.047 13.995" Properties=species:S:1:pos:R:3 pbc="T T T"
Rb 1.212 3.366 4.225
Rb 3.635 6.806 2.418
Rb 3.635 2.466 0.208
Rb 3.635 0.210 8.183
Rb 1.212 1.110 12.199
Rb 1.212 -3.230 9.989
Au 1.212 -1.743 6.783
Au 3.635 5.319 5.625
I 3.635 3.195 10.217
I 1.212 0.381 2.190
Cl 1.212 4.628 1.170
Cl 3.635 -1.052 11.238
```

Output
Raw formation energy in meV/atom: -1201
Crystal system: monoclinic

Respective density values: 5.5 5.9 4.4 7.8 3.5 4.9 5.7 5.0 4.7 7.1 6.8 7.0 5.0 4.6 4.4 6.4 7.9 3.0 5.4 3.7 Mg/m³.
Respective total moment values: 0.00 0.00 0.20 0.00 0.00 0.00 0.24 0.00 0.00 0.00 0.00 0.00 0.83 0.69 0.74 0.18 0.00 0.00 0.00 0.00 μB per atom.